No. 1
# PBE Mg3ZnGe, optimized geometry
# Relative energy among the computed polymorphs ... 0 meV/atom
# ρ ... 2705 kg/m³
# Calculated volume ... 130 Å³/f.u.
# E_form ... 0.2091 eV per atom
# Uncorrected energy ... -1.93 eV/atom
data_Mg3ZnGe
_cell_length_a 5.060
_cell_length_b 5.060
_cell_length_c 5.060
_cell_angle_alpha 90.00
_cell_angle_beta 90.00
_cell_angle_gamma 90.00
_symmetry_space_group_name_H-M 'P m -3 m'
_symmetry_Int_Tables_number 221
_symmetry_space_group_name_Hall '-P 4 2 3'
loop_
_atom_site_label
_atom_site_type_symbol
_atom_site_fract_x
_atom_site_fract_y
_atom_site_fract_z
Mg1 Mg 0.000 0.000 0.500
Zn1 Zn 0.500 0.500 0.500
Ge1 Ge 0.000 0.000 0.000

No. 2
# PBE Zr2ScCr, optimized geometry
# Relative energy among the computed polymorphs ... 10 meV/atom
# ρ ... 5683 kg/m³
# Calculated volume ... 82 Å³/f.u.
# E_form ... 0.1544 eV per atom
# Uncorrected energy ... -8.11 eV/atom
data_Zr2ScCr
_cell_length_a 4.631
_cell_length_b 4.638
_cell_length_c 7.603
_cell_angle_alpha 90.00
_cell_angle_beta 90.00
_cell_angle_gamma 90.00
_symmetry_space_group_name_H-M 'C m m m'
_symmetry_Int_Tables_number 65
_symmetry_space_group_name_Hall '-C 2 2'
loop_
_atom_site_label
_atom_site_type_symbol
_atom_site_fract_x
_atom_site_fract_y
_atom_site_fract_z
Zr1 Zr 0.000 0.000 0.207
Sc1 Sc 0.000 0.500 0.500
Cr1 Cr 0.000 0.500 0.000

No. 3
# PBE AlCrSb2, optimized geometry
# ρ ... 6330 kg/m³
# ΔE_f (raw) ... 0.294 eV/atom
# Calculated volume ... 85 Å³/f.u.
# Uncorrected energy ... -5.11 eV/atom
data_AlCrSb2
_cell_length_a 10.658
_cell_length_b 3.248
_cell_length_c 5.064
_cell_angle_alpha 90.00
_cell_angle_beta 105.18
_cell_angle_gamma 90.00
_symmetry_space_group_name_H-M 'C 1 m 1'
_symmetry_Int_Tables_number 8
loop_
_symmetry_equiv_pos_as_xyz
'x,y,z'
'x,-y,z'
'x+1/2,y+1/2,z'
'x+1/2,-y+1/2,z'
loop_
_atom_site_label
_atom_site_type_symbol
_atom_site_fract_x
_atom_site_fract_y
_atom_site_fract_z
Al1 Al 0.000 0.000 0.000
Cr1 Cr 0.291 0.000 0.679
Sb1 Sb 0.044 0.500 0.529
Sb2 Sb 0.257 0.500 0.159

No. 4
# PBE DyGeS, optimized geometry
# ρ ... 7017 kg/m³
# ΔE_f (raw) ... -1.332 eV/atom
# Calculated volume ... 63 Å³/f.u.
# Uncorrected energy ... -5.78 eV/atom
data_DyGeS
_cell_length_a 3.784
_cell_length_b 3.784
_cell_length_c 17.660
_cell_angle_alpha 90.00
_cell_angle_beta 90.00
_cell_angle_gamma 90.00
_symmetry_space_group_name_H-M 'I 4/m m m'
_symmetry_Int_Tables_number 139
_symmetry_space_group_name_Hall '-I 4 2'
loop_
_atom_site_label
_atom_site_type_symbol
_atom_site_fract_x
_atom_site_fract_y
_atom_site_fract_z
Dy1 Dy 0.000 0.000 0.149
Ge1 Ge 0.000 0.500 0.000
S1 S 0.000 0.000 0.312

No. 5
# PBE Ba2Mo6S9, optimized geometry
# ρ ... 5209 kg/m³
# ΔE_f (raw) ... -1.056 eV/atom
# Calculated volume ... 363 Å³/f.u.
# Uncorrected energy ... -7.29 eV/atom
data_Ba2Mo6S9
_cell_length_a 10.7861
_cell_length_b 10.7861
_cell_length_c 14.4144
_cell_angle_alpha 90.00
_cell_angle_beta 90.00
_cell_angle_gamma 120.00
_symmetry_space_group_name_H-M 'P 63 m c'
_symmetry_Int_Tables_number 186
_symmetry_space_group_name_Hall 'P 6c -2c'
loop_
_atom_site_label
_atom_site_type_symbol
_atom_site_fract_x
_atom_site_fract_y
_atom_site_fract_z
Ba1 Ba 0.0000 0.0000 0.0000
Ba2 Ba 0.1872 0.3743 0.1995
Mo1 Mo 0.1651 0.5826 0.4330
Mo2 Mo 0.1655 0.5828 0.9549
Mo3 Mo 0.2423 0.4846 0.8042
Mo4 Mo 0.2427 0.4853 0.5830
S1 S 0.0282 0.5141 0.5796
S2 S 0.0286 0.5143 0.8082
S3 S 0.1363 0.2726 0.6892
S4 S 0.1808 0.3616 0.4327
S5 S 0.1811 0.3621 0.9555
S6 S 0.3333 0.6667 0.0844
S7 S 0.3333 0.6667 0.3042
S8 S 0.3333 0.6667 0.6938

No. 6
# PBE TiSb2HI, optimized geometry
# ρ ... 4404 kg/m³
# Calculated volume ... 158 Å³/f.u.
# Uncorrected energy ... -3.70 eV/atom
data_TiSb2HI
_cell_length_a 5.267
_cell_length_b 5.267
_cell_length_c 5.699
_cell_angle_alpha 90.00
_cell_angle_beta 90.00
_cell_angle_gamma 90.00
_symmetry_space_group_name_H-M 'P 4/m m m'
_symmetry_Int_Tables_number 123
_symmetry_space_group_name_Hall '-P 4 2'
loop_
_atom_site_label
_atom_site_type_symbol
_atom_site_fract_x
_atom_site_fract_y
_atom_site_fract_z
Ti1 Ti 0.000 0.000 0.000
Sb1 Sb 0.000 0.500 0.000
H1 H 0.500 0.500 0.500
I1 I 0.000 0.000 0.500

No. 7
# PBE Ba2ZrMo, optimized geometry
# Relative energy among the computed polymorphs ... 604 meV/atom
# ρ ... 6625 kg/m³
# Calculated volume ... 116 Å³/f.u.
# E_form ... 1.1081 eV per atom
# Uncorrected energy ... -4.70 eV/atom
data_Ba2ZrMo
_cell_length_a 4.486
_cell_length_b 4.507
_cell_length_c 5.724
_cell_angle_alpha 90.00
_cell_angle_beta 90.00
_cell_angle_gamma 90.00
_symmetry_space_group_name_H-M 'P m m m'
_symmetry_Int_Tables_number 47
loop_
_symmetry_equiv_pos_as_xyz
'x,y,z'
'-x,-y,-z'
'-x,-y,z'
'x,y,-z'
'x,-y,-z'
'-x,y,z'
'-x,y,-z'
'x,-y,z'
loop_
_atom_site_label
_atom_site_type_symbol
_atom_site_fract_x
_atom_site_fract_y
_atom_site_fract_z
Ba1 Ba 0.000 0.000 0.000
Ba2 Ba 0.500 0.500 0.000
Zr1 Zr 0.000 0.500 0.500
Mo1 Mo 0.500 0.000 0.500

No. 8
# PBE Ac3Al3Ge, optimized geometry
# ρ ... 6658 kg/m³
# Calculated volume ... 208 Å³/f.u.
# E_form ... -0.4656 eV per atom
# Uncorrected energy ... -4.49 eV/atom
data_Ac3Al3Ge
_cell_length_a 4.387
_cell_length_b 4.752
_cell_length_c 19.964
_cell_angle_alpha 90.00
_cell_angle_beta 90.00
_cell_angle_gamma 90.00
_symmetry_space_group_name_H-M 'I m m 2'
_symmetry_Int_Tables_number 44
loop_
_symmetry_equiv_pos_as_xyz
'x,y,z'
'-x,-y,z'
'-x,y,z'
'x,-y,z'
'x+1/2,y+1/2,z+1/2'
'-x+1/2,-y+1/2,z+1/2'
'-x+1/2,y+1/2,z+1/2'
'x+1/2,-y+1/2,z+1/2'
loop_
_atom_site_label
_atom_site_type_symbol
_atom_site_fract_x
_atom_site_fract_y
_atom_site_fract_z
Ac1 Ac 0.000 0.000 0.000
Ac2 Ac 0.000 0.000 0.369
Ac3 Ac 0.000 0.500 0.682
Al1 Al 0.000 0.000 0.547
Al2 Al 0.000 0.000 0.819
Al3 Al 0.000 0.500 0.248
Ge1 Ge 0.000 0.500 0.120

No. 9
# PBE La3As5Ir6, optimized geometry
# ρ ... 11885 kg/m³
# Calculated volume ... 272 Å³/f.u.
# E_form ... -0.7612 eV per atom
# Uncorrected energy ... -7.28 eV/atom
data_La3As5Ir6
_cell_length_a 4.130
_cell_length_b 12.258
_cell_length_c 10.734
_cell_angle_alpha 90.00
_cell_angle_beta 90.00
_cell_angle_gamma 90.00
_symmetry_space_group_name_H-M 'P m m n'
_symmetry_Int_Tables_number 59
loop_
_symmetry_equiv_pos_as_xyz
'x,y,z'
'-x,-y,-z'
'-x+1/2,-y+1/2,z'
'x+1/2,y+1/2,-z'
'x+1/2,-y,-z'
'-x+1/2,y,z'
'-x,y+1/2,-z'
'x,-y+1/2,z'
loop_
_atom_site_label
_atom_site_type_symbol
_atom_site_fract_x
_atom_site_fract_y
_atom_site_fract_z
La1 La 0.250 0.089 0.239
La2 La 0.250 0.750 0.239
As1 As 0.250 0.080 0.639
As2 As 0.250 0.619 0.987
As3 As 0.250 0.750 0.626
Ir1 Ir 0.250 0.062 0.864
Ir2 Ir 0.250 0.250 0.009
Ir3 Ir 0.250 0.250 0.507
Ir4 Ir 0.250 0.583 0.494

No. 10
# PBE TaAgBr2, optimized geometry
# Relative energy among the computed polymorphs ... 753 meV/atom
# ρ ... 9492 kg/m³
# ΔE_f (raw) ... 0.670 eV/atom
# Calculated volume ... 78 Å³/f.u.
# Uncorrected energy ... -3.84 eV/atom
data_TaAgBr2
_cell_length_a 6.796
_cell_length_b 6.796
_cell_length_c 6.796
_cell_angle_alpha 90.00
_cell_angle_beta 90.00
_cell_angle_gamma 90.00
_symmetry_space_group_name_H-M 'F m -3 m'
_symmetry_Int_Tables_number 225
_symmetry_space_group_name_Hall '-F 4 2 3'
loop_
_atom_site_label
_atom_site_type_symbol
_atom_site_fract_x
_atom_site_fract_y
_atom_site_fract_z
Ta1 Ta 0.000 0.000 0.000
Ag1 Ag 0.000 0.000 0.500
Br1 Br 0.250 0.250 0.250

Which of these has the lowest uncorrected energy? Zr2ScCr

Among the records above, which one has the highest calculated volume? Ba2Mo6S9